Compound: CuH3N
Source: Alexandria
Functional: PBE
Structure: optimized geometry

The structure in CIF format:
```
data_CuH3N
_cell_length_a 3.3297
_cell_length_b 3.3297
_cell_length_c 3.3297
_cell_angle_alpha 90.00
_cell_angle_beta 90.00
_cell_angle_gamma 90.00
_space_group_name_H-M_alt 'P 1'
_space_group_IT_number 1
_space_group_name_Hall 'P 1'
loop_
_atom_site_label
_atom_site_type_symbol
_atom_site_fract_x
_atom_site_fract_y
_atom_site_fract_z
H1 H 0.0000 0.5000 0.0000
H2 H 0.0000 0.0000 0.5000
H3 H 0.5000 0.0000 0.0000
Cu1 Cu 0.0000 0.0000 0.0000
N1 N 0.5000 0.5000 0.5000
```

Properties
The calculation puts the total energy at -3.05 eV/atom.

***

Compound: TaTeBr
Source: Alexandria
Functional: PBE
Structure: optimized geometry

The structure in CIF format:
```
data_TaTeBr
_cell_length_a 4.8753
_cell_length_b 4.8753
_cell_length_c 3.2943
_cell_angle_alpha 90.00
_cell_angle_beta 90.00
_cell_angle_gamma 120.00
_space_group_name_H-M_alt 'P 1'
_space_group_IT_number 1
_space_group_name_Hall 'P 1'
loop_
_atom_site_label
_atom_site_type_symbol
_atom_site_fract_x
_atom_site_fract_y
_atom_site_fract_z
Te1 Te 0.6667 0.3333 0.5438
Br1 Br 0.0000 0.0000 0.1363
Ta1 Ta 0.3333 0.6667 0.3198
```

Properties
The energy relative to the elements, uncorrected comes out at 0.36 eV/atom.

***

Compound: CoSi2Au
Source: Alexandria
Functional: PBE
Structure: optimized geometry

The structure in CIF format:
```
data_CoSi2Au
_cell_length_a 4.0325
_cell_length_b 4.0325
_cell_length_c 5.7105
_cell_angle_alpha 61.65
_cell_angle_beta 61.65
_cell_angle_gamma 46.61
_space_group_name_H-M_alt 'P 1'
_space_group_IT_number 1
_space_group_name_Hall 'P 1'
loop_
_atom_site_label
_atom_site_type_symbol
_atom_site_fract_x
_atom_site_fract_y
_atom_site_fract_z
Au1 Au 0.4427 0.4427 0.5123
Co1 Co 0.7019 0.7019 0.9805
Si1 Si 0.0550 0.0550 0.8160
Si2 Si 0.3004 0.3004 0.1912
```

Properties
The energy relative to the elements, uncorrected comes out at -0.11 eV/atom.

***

Compound: CsK2TlBr4
Source: Alexandria
Functional: PBE
Structure: optimized geometry

The structure in CIF format:
```
data_CsK2TlBr4
_cell_length_a 4.8560
_cell_length_b 8.4553
_cell_length_c 8.4188
_cell_angle_alpha 70.70
_cell_angle_beta 90.00
_cell_angle_gamma 90.00
_space_group_name_H-M_alt 'P 1'
_space_group_IT_number 1
_space_group_name_Hall 'P 1'
loop_
_atom_site_label
_atom_site_type_symbol
_atom_site_fract_x
_atom_site_fract_y
_atom_site_fract_z
Cs1 Cs 0.5000 0.5000 0.0000
K1 K 0.0000 0.0000 0.0000
K2 K 0.5000 0.0000 0.5000
Tl1 Tl 0.0000 0.5000 0.5000
Br1 Br 0.0000 0.7683 0.7326
Br2 Br 0.0000 0.2317 0.2674
Br3 Br 0.5000 0.7612 0.2560
Br4 Br 0.5000 0.2388 0.7440
```

Properties
The energy relative to the elements, uncorrected comes out at -1.53 eV/atom.

***

Compound: Na5B7C3
Source: Alexandria
Functional: PBE
Structure: optimized geometry

The structure in CIF format:
```
data_Na5B7C3
_cell_length_a 7.6921
_cell_length_b 7.6885
_cell_length_c 8.5660
_cell_angle_alpha 90.00
_cell_angle_beta 90.00
_cell_angle_gamma 142.10
_space_group_name_H-M_alt 'P 1'
_space_group_IT_number 1
_space_group_name_Hall 'P 1'
loop_
_atom_site_label
_atom_site_type_symbol
_atom_site_fract_x
_atom_site_fract_y
_atom_site_fract_z
Na1 Na 0.1966 0.7971 0.0036
Na2 Na 0.1966 0.7971 0.4964
Na3 Na 0.4009 0.6002 0.0055
Na4 Na 0.4009 0.6002 0.4945
Na5 Na 0.9997 0.0009 0.0028
Na6 Na 0.9997 0.0009 0.4972
Na7 Na 0.5993 0.3983 0.0010
Na8 Na 0.5993 0.3983 0.4990
Na9 Na 0.7998 0.2002 0.0036
Na10 Na 0.7998 0.2002 0.4964
B1 B 0.1327 0.5315 0.7500
B2 B 0.4670 0.8674 0.2500
B3 B 0.1152 0.5158 0.2500
B4 B 0.4896 0.8714 0.7500
B5 B 0.3336 0.3338 0.2500
B6 B 0.6559 0.6676 0.7500
B7 B 0.9305 0.7315 0.7500
B8 B 0.9334 0.7332 0.2500
B9 B 0.2704 0.0873 0.7500
B10 B 0.5167 0.1167 0.7500
B11 B 0.5303 0.1421 0.2500
B12 B 0.8681 0.4672 0.7500
B13 B 0.7416 0.9305 0.2500
B14 B 0.0682 0.2562 0.7500
C1 C 0.3375 0.3413 0.7500
C2 C 0.6741 0.6684 0.2500
C3 C 0.2683 0.0743 0.2500
C4 C 0.8646 0.4677 0.2500
C5 C 0.7423 0.9380 0.7500
C6 C 0.0676 0.2651 0.2500
```

Properties
The calculation puts the total energy at -5.25 eV/atom.

***

Compound: Dy6Cu5Tc
Source: Alexandria
Functional: PBE
Structure: optimized geometry

The structure in CIF format:
```
data_Dy6Cu5Tc
_cell_length_a 4.9164
_cell_length_b 6.8921
_cell_length_c 7.7459
_cell_angle_alpha 90.00
_cell_angle_beta 71.65
_cell_angle_gamma 90.00
_space_group_name_H-M_alt 'P 1'
_space_group_IT_number 1
_space_group_name_Hall 'P 1'
loop_
_atom_site_label
_atom_site_type_symbol
_atom_site_fract_x
_atom_site_fract_y
_atom_site_fract_z
Tc1 Tc 0.0000 0.0000 0.0000
Cu1 Cu 0.6659 0.5000 0.6692
Cu2 Cu 0.3380 0.0000 0.3262
Cu3 Cu 0.0000 0.5000 0.0000
Cu4 Cu 0.6620 0.0000 0.6738
Cu5 Cu 0.3341 0.5000 0.3308
Dy1 Dy 0.8356 0.7539 0.3288
Dy2 Dy 0.8356 0.2461 0.3288
Dy3 Dy 0.5000 0.2448 0.0000
Dy4 Dy 0.5000 0.7552 0.0000
Dy5 Dy 0.1644 0.7539 0.6712
Dy6 Dy 0.1644 0.2461 0.6712
```

Properties
The calculation puts the total energy at -5.08 eV/atom.

***

Compound: HoGaPt2
Source: Alexandria
Functional: PBE
Structure: optimized geometry

The structure in CIF format:
```
data_HoGaPt2
_cell_length_a 3.3828
_cell_length_b 3.3828
_cell_length_c 6.3576
_cell_angle_alpha 90.00
_cell_angle_beta 90.00
_cell_angle_gamma 90.00
_space_group_name_H-M_alt 'P 1'
_space_group_IT_number 1
_space_group_name_Hall 'P 1'
loop_
_atom_site_label
_atom_site_type_symbol
_atom_site_fract_x
_atom_site_fract_y
_atom_site_fract_z
Ga1 Ga 0.5000 0.5000 0.0000
Ho1 Ho 0.5000 0.5000 0.5000
Pt1 Pt 0.0000 0.0000 0.7781
Pt2 Pt 0.0000 0.0000 0.2219
```

Properties
The calculation puts the total energy at -5.81 eV/atom.

***

Compound: PmDyAlAg
Source: Alexandria
Functional: PBE
Structure: optimized geometry

The structure in CIF format:
```
data_PmDyAlAg
_cell_length_a 3.5940
_cell_length_b 3.5940
_cell_length_c 7.6573
_cell_angle_alpha 90.00
_cell_angle_beta 90.00
_cell_angle_gamma 90.00
_space_group_name_H-M_alt 'P 1'
_space_group_IT_number 1
_space_group_name_Hall 'P 1'
loop_
_atom_site_label
_atom_site_type_symbol
_atom_site_fract_x
_atom_site_fract_y
_atom_site_fract_z
Pm1 Pm 0.0000 0.0000 0.8512
Dy1 Dy 0.0000 0.0000 0.3547
Al1 Al 0.5000 0.5000 0.5957
Ag1 Ag 0.5000 0.5000 0.1263
```

Properties
The calculation puts the total energy at -4.33 eV/atom.

***

Asked for N(E_F) across the records above, the calculation gives 1.3 2.3 1.7 0.0 2.5 8.3 1.6 3.4 states/eV/cell in order.